1.
A plane-wave DFT calculation with GGA-PBE was carried out for a relaxed structure of Y12TlCo5.

a b c (Å): 8.3244 8.3244 8.3244
angles (deg): 107.16 110.65 110.63
With the nearest neighbours (Å) after each atom.
Sites, in units of the cell vectors:
Y 0.5225 0.8143 0.7083  2 Co 2.86
Y 0.4775 0.1857 0.2917  2 Co 2.86
Y 0.8940 0.1857 0.7083  2 Co 2.86
Y 0.1060 0.8143 0.2917  2 Co 2.86
Y 0.6955 0.6860 0.3815  3 Co 2.73-2.84
Y 0.3045 0.3140 0.6185  3 Co 2.73-2.84
Y 0.3045 0.6860 0.9905  3 Co 2.73-2.84
Y 0.6955 0.3140 0.0095  3 Co 2.73-2.84
Y 0.8072 0.5983 0.7912  2 Co 2.73-2.76
Y 0.1928 0.4017 0.2088  2 Co 2.73-2.76
Y 0.1928 0.9840 0.7912  2 Co 2.73-2.76
Y 0.8072 0.0160 0.2088  2 Co 2.73-2.76
Tl 0.0000 0.5000 0.5000  12 Y 3.41-3.57
Co 0.6192 0.6192 0.0000  1 Co 2.26
Co 0.3808 0.3808 0.0000  1 Co 2.26
Co 0.5000 0.1113 0.6113  1 Co 2.20
Co 0.5000 0.8887 0.3887  1 Co 2.20
Co 0.0000 0.0000 0.0000  4 Y 2.76

Computed properties:
ΔH_f (0 K) in meV/atom: -223
D(E_F) in states/eV per atom: 0.81

2.
A plane-wave DFT calculation with GGA-PBE was carried out for a relaxed structure of Li3Ac2PdO6.

a b c (Å): 6.4516 6.4516 5.1751
angles (deg): 97.33 97.33 127.07
With the nearest neighbours (Å) after each atom.
Sites, in units of the cell vectors:
Li 0.1029 0.8971 0.5000  4 O 2.01-2.04
Li 0.8971 0.1029 0.5000  4 O 2.01-2.04
Li 0.5000 0.5000 0.5000  6 O 2.28-2.44
Ac 0.3323 0.6677 0.0000  6 O 2.45-2.65
Ac 0.6677 0.3323 0.0000  6 O 2.45-2.65
Pd 0.0000 0.0000 0.0000  6 O 2.11-2.27
O 0.9369 0.6469 0.7391  1 Li 2.01
O 0.7549 0.7549 0.2349  3 Li 2.04-2.28, 1 Pd 2.11
O 0.0631 0.3531 0.2609  1 Li 2.01
O 0.6469 0.9369 0.7391  1 Li 2.01
O 0.2451 0.2451 0.7651  3 Li 2.04-2.28, 1 Pd 2.11
O 0.3531 0.0631 0.2609  1 Li 2.01

Computed properties:
D(E_F) in states/eV per atom: 0.24
ΔE_f (raw) in eV/atom: -1.99

3.
A plane-wave DFT calculation with GGA-PBE was carried out for a relaxed structure of Zn2PW.

a b c (Å): 2.8055 2.8055 8.6389
angles (deg): 90.00 90.00 108.24
With the nearest neighbours (Å) after each atom.
Sites, in units of the cell vectors:
Zn 0.0000 0.0000 0.0092  6 Zn 2.69-2.81, 2 W 2.73
Zn 0.5000 0.5000 0.7623  6 Zn 2.69-2.81
P 0.0000 0.0000 0.4666  2 W 2.41
W 0.5000 0.5000 0.2619  2 P 2.41

Computed properties:
ΔH_f (0 K) in meV/atom: 253
D(E_F) in states/eV per atom: 0.33

4.
A plane-wave DFT calculation with GGA-PBE was carried out for a relaxed structure of Ba3Li4Ga2.

a b c (Å): 4.9391 6.4852 10.1090
angles (deg): 68.23 75.96 67.45
With the nearest neighbours (Å) after each atom.
Sites, in units of the cell vectors:
Ba 0.6162 0.1435 0.6251  6 Li 3.44-3.80, 4 Ga 3.65-3.82
Ba 0.0000 0.0000 0.0000  6 Li 3.43-3.64, 2 Ga 3.59
Ba 0.3838 0.8565 0.3749  6 Li 3.44-3.80, 4 Ga 3.65-3.82
Li 0.2682 0.4038 0.0602  3 Li 2.76-2.83, 3 Ga 2.78-2.96
Li 0.8905 0.5517 0.6680  1 Li 2.76, 2 Ga 2.76-2.77
Li 0.1095 0.4483 0.3320  1 Li 2.76, 2 Ga 2.76-2.77
Li 0.7318 0.5962 0.9398  3 Li 2.76-2.83, 3 Ga 2.78-2.96
Ga 0.7033 0.3605 0.2326  5 Li 2.76-2.96
Ga 0.2967 0.6395 0.7674  5 Li 2.76-2.96

Computed properties:
ΔH_f (0 K) in meV/atom: -159
D(E_F) in states/eV per atom: 0.84
Polymorph energy (0 for the lowest one) in eV per formula unit: 0.000

5.
A plane-wave DFT calculation with GGA-PBE was carried out for a relaxed structure of SrSm3Pt8.

a b c (Å): 5.5184 5.5184 9.0199
angles (deg): 90.00 90.00 120.00
With the nearest neighbours (Å) after each atom.
Sites, in units of the cell vectors:
Sr 0.0000 0.0000 0.5633  12 Pt 3.24-3.26, 4 Sm 3.31-3.38
Sm 0.6667 0.3333 0.4373  12 Pt 3.24-3.26, 1 Sm 3.34, 3 Sr 3.38
Sm 0.6667 0.3333 0.0672  12 Pt 3.20-3.24, 4 Sm 3.34-3.42
Sm 0.0000 0.0000 0.9305  12 Pt 3.19-3.26, 1 Sr 3.31, 3 Sm 3.42
Pt 0.3333 0.6667 0.5003  6 Pt 2.80
Pt 0.3333 0.6667 0.9999  6 Pt 2.74-2.75
Pt 0.5023 0.0046 0.7540  6 Pt 2.72-2.80
Pt 0.5023 0.4977 0.7540  6 Pt 2.72-2.80
Pt 0.9954 0.4977 0.7540  6 Pt 2.72-2.80
Pt 0.1648 0.3297 0.2465  6 Pt 2.73-2.80
Pt 0.1648 0.8352 0.2465  6 Pt 2.73-2.80
Pt 0.6703 0.8352 0.2465  6 Pt 2.73-2.80

Computed properties:
ΔH_f (0 K) in meV/atom: -967
D(E_F) in states/eV per atom: 0.65

6.
A plane-wave DFT calculation with GGA-PBE was carried out for a relaxed structure of TaAgBr2.

a b c (Å): 3.3535 3.3535 11.2220
angles (deg): 90.00 90.00 124.83
With the nearest neighbours (Å) after each atom.
Sites, in units of the cell vectors:
Br 0.0000 0.0000 0.0608  2 Ta 2.63
Br 0.0000 0.0000 0.4392  2 Ta 2.63
Ag 0.5000 0.5000 0.7500  6 Ag 3.11-3.35
Ta 0.5000 0.5000 0.2500  4 Br 2.63

Computed properties:
D(E_F) in states/eV per atom: 0.55
Polymorph energy (0 for the lowest one) in eV per formula unit: 0.899
ΔE_f (raw) in eV/atom: 0.14

7.
A plane-wave DFT calculation with GGA-PBE was carried out for a relaxed structure of MnCr2Ru2.

a b c (Å): 7.0690 7.0690 2.7629
angles (deg): 90.00 90.00 90.00
With the nearest neighbours (Å) after each atom.
Sites, in units of the cell vectors:
Ru 0.3641 0.8641 0.0000  6 Cr 2.43-2.54, 1 Ru 2.72
Ru 0.8641 0.6359 0.0000  6 Cr 2.43-2.54, 1 Ru 2.72
Ru 0.6359 0.1359 0.0000  6 Cr 2.43-2.54, 1 Ru 2.72
Ru 0.1359 0.3641 0.0000  6 Cr 2.43-2.54, 1 Ru 2.72
Mn 0.0000 0.0000 0.0000  4 Ru 2.75, 2 Mn 2.76, 8 Cr 2.98
Mn 0.5000 0.5000 0.0000  4 Ru 2.75, 2 Mn 2.76, 8 Cr 2.98
Cr 0.1641 0.6641 0.5000  6 Ru 2.43-2.54
Cr 0.6641 0.8359 0.5000  6 Ru 2.43-2.54
Cr 0.8359 0.3359 0.5000  6 Ru 2.43-2.54
Cr 0.3359 0.1641 0.5000  6 Ru 2.43-2.54

Computed properties:
ΔH_f (0 K) in meV/atom: 270
D(E_F) in states/eV per atom: 1.16
Polymorph energy (0 for the lowest one) in eV per formula unit: 0.046

8.
A plane-wave DFT calculation with GGA-PBE was carried out for a relaxed structure of LaNd2Tm3.

a b c (Å): 3.5217 9.1258 13.0704
angles (deg): 78.12 82.26 78.87
With the nearest neighbours (Å) after each atom.
Sites, in units of the cell vectors:
La 0.4389 0.4768 0.6454  4 Nd 3.45-3.65, 3 La 3.52-3.71, 4 Tm 3.77-3.83
La 0.5611 0.5232 0.3546  4 Nd 3.45-3.65, 3 La 3.52-3.71, 4 Tm 3.77-3.83
Nd 0.8180 0.4812 0.8829  5 Tm 3.45-3.59, 4 Nd 3.52-3.58, 2 La 3.55
Nd 0.1820 0.5188 0.1171  5 Tm 3.45-3.59, 4 Nd 3.52-3.58, 2 La 3.55
Nd 0.6555 0.1559 0.5331  5 Tm 3.40-3.80, 2 La 3.45-3.65, 4 Nd 3.52-3.54
Nd 0.3445 0.8441 0.4669  5 Tm 3.40-3.80, 2 La 3.45-3.65, 4 Nd 3.52-3.54
Tm 0.0402 0.1230 0.7966  8 Tm 3.52-3.61, 3 Nd 3.59-3.80, 2 La 3.83
Tm 0.9598 0.8770 0.2034  8 Tm 3.52-3.61, 3 Nd 3.59-3.80, 2 La 3.83
Tm 0.5990 0.8287 0.9734  8 Tm 3.27-3.61, 3 Nd 3.51-3.52
Tm 0.4010 0.1713 0.0266  8 Tm 3.27-3.61, 3 Nd 3.51-3.52
Tm 0.7352 0.8222 0.7075  4 Nd 3.40-3.55, 5 Tm 3.46-3.58, 2 La 3.77
Tm 0.2648 0.1778 0.2925  4 Nd 3.40-3.55, 5 Tm 3.46-3.58, 2 La 3.77

Computed properties:
ΔH_f (0 K) in meV/atom: 117
D(E_F) in states/eV per atom: 1.65
Polymorph energy (0 for the lowest one) in eV per formula unit: 0.669

9.
A plane-wave DFT calculation with GGA-PBE was carried out for a relaxed structure of TbPuHgRu.

a b c (Å): 5.0511 5.0511 5.0511
angles (deg): 60.00 60.00 60.00
With the nearest neighbours (Å) after each atom.
Sites, in units of the cell vectors:
Ru 0.7500 0.7500 0.7500  4 Tb 3.09, 4 Pu 3.09
Tb 0.0000 0.0000 0.0000  4 Hg 3.09, 4 Ru 3.09
Hg 0.2500 0.2500 0.2500  4 Tb 3.09, 4 Pu 3.09
Pu 0.5000 0.5000 0.5000  4 Ru 3.09, 4 Hg 3.09

Computed properties:
ΔH_f (0 K) in meV/atom: -126
D(E_F) in states/eV per atom: 2.90
Polymorph energy (0 for the lowest one) in eV per formula unit: 0.634

10.
A plane-wave DFT calculation with GGA-PBE was carried out for a relaxed structure of Ba2Pt.

a b c (Å): 4.6341 4.6341 7.4897
angles (deg): 90.00 90.00 120.00
With the nearest neighbours (Å) after each atom.
Sites, in units of the cell vectors:
Ba 0.0000 0.0000 0.1080  3 Pt 3.16
Ba 0.6667 0.3333 0.5586  3 Pt 3.16
Pt 0.3333 0.6667 0.3333  6 Ba 3.16

Computed properties:
ΔH_f (0 K) in meV/atom: -637
D(E_F) in states/eV per atom: 0.45

11.
A plane-wave DFT calculation with GGA-PBE was carried out for a relaxed structure of Pr4Nd4Dy3.

a b c (Å): 5.8036 6.7752 10.8508
angles (deg): 90.00 90.00 115.36
With the nearest neighbours (Å) after each atom.
Sites, in units of the cell vectors:
Pr 0.7543 0.5086 0.7965  2 Pr 3.33-3.62, 4 Nd 3.38-3.63, 4 Dy 3.59-3.65
Pr 0.7543 0.5086 0.2035  2 Pr 3.33-3.62, 4 Nd 3.38-3.63, 4 Dy 3.59-3.65
Pr 0.8906 0.7812 0.5000  3 Nd 3.35-3.40, 2 Pr 3.62, 4 Dy 3.68
Pr 0.9575 0.9150 0.0000  2 Nd 3.10, 2 Pr 3.33
Nd 0.6172 0.2345 0.5000  3 Pr 3.35-3.63, 2 Dy 3.41, 4 Nd 3.62
Nd 0.5456 0.0911 0.0000  4 Pr 3.10-3.38
Nd 0.1042 0.2084 0.6996  4 Pr 3.40-3.72, 2 Nd 3.62, 4 Dy 3.73-3.77
Nd 0.1042 0.2084 0.3004  4 Pr 3.40-3.72, 2 Nd 3.62, 4 Dy 3.73-3.77
Dy 0.4084 0.8168 0.2920  5 Nd 3.41-3.77, 4 Pr 3.59-3.68, 1 Dy 3.69
Dy 0.4084 0.8168 0.7080  5 Nd 3.41-3.77, 4 Pr 3.59-3.68, 1 Dy 3.69
Dy 0.2538 0.5076 0.0000  5 Nd 3.57-3.86, 7 Pr 3.63-3.83, 2 Dy 3.69

Computed properties:
ΔH_f (0 K) in meV/atom: 141
D(E_F) in states/eV per atom: 1.71
Polymorph energy (0 for the lowest one) in eV per formula unit: 0.172

12.
A plane-wave DFT calculation with GGA-PBE was carried out for a relaxed structure of KSeCl3.

a b c (Å): 5.9002 5.9002 5.9002
angles (deg): 90.00 90.00 90.00
With the nearest neighbours (Å) after each atom.
Sites, in units of the cell vectors:
K 0.0000 0.0000 0.0000  6 Cl 2.95
Se 0.5000 0.5000 0.5000  12 Cl 4.17
Cl 0.0000 0.5000 0.0000  2 K 2.95
Cl 0.0000 0.0000 0.5000  2 K 2.95
Cl 0.5000 0.0000 0.0000  2 K 2.95

Computed properties:
D(E_F) in states/eV per atom: 2.86
Polymorph energy (0 for the lowest one) in eV per formula unit: 4.731
ΔE_f (raw) in eV/atom: 0.03